Entry from Alexandria via LeMat-Bulk: a relaxed AsH2F6 crystal (PBE-GGA).

Summary:
energy relative to the lowest polymorph listed for this composition = 19 meV per atom
DOS(E_F) = 1.4 states/eV/f.u.

a = 4.984 Å, b = 6.901 Å, c = 6.901 Å
α = 85.23°, β = 82.23°, γ = 82.23°
Fractional coordinates of all 18 atoms:
As: 0.250 0.121 0.879
As: 0.750 0.879 0.121
H: 0.180 0.654 0.622
H: 0.320 0.378 0.346
H: 0.820 0.346 0.378
H: 0.680 0.622 0.654
F: 0.359 0.693 0.582
F: 0.141 0.418 0.307
F: 0.641 0.307 0.418
F: 0.859 0.582 0.693
F: 0.858 0.867 0.353
F: 0.642 0.647 0.133
F: 0.142 0.133 0.647
F: 0.358 0.353 0.867
F: 0.098 0.827 0.969
F: 0.402 0.031 0.173
F: 0.902 0.173 0.031
F: 0.598 0.969 0.827